DFT (PBE) results for an optimized crystal structure of NaYCd2.

N(E_F) = 2.87 states/eV/f.u.
total DFT energy (no corrections) = -2.60 eV/atom
calculated formation energy = -193 meV/atom
distance to the lowest polymorph of the same formula = 0 kJ/mol of formula units

```
NaYCd2
1.0
5.4164 0.0000 0.0000
0.0000 5.4164 0.0000
0.0000 0.0000 3.5582
Na Y Cd
1 1 2
Direct
0.0000 0.0000 0.0000 Na
0.5000 0.5000 0.0000 Y
0.0000 0.5000 0.5000 Cd
0.5000 0.0000 0.5000 Cd
```

=====

DFT (PBE) results for an optimized crystal structure of CaMgPdPt.

N(E_F) = 1.22 states/eV/f.u.
total DFT energy (no corrections) = -4.43 eV/atom
calculated formation energy = -721 meV/atom

```
CaMgPdPt
1.0
0.0000 3.3497 3.3497
3.3497 0.0000 3.3497
3.3497 3.3497 0.0000
Ca Mg Pd Pt
1 1 1 1
Direct
0.0000 0.0000 0.0000 Ca
0.5000 0.5000 0.5000 Mg
0.7500 0.7500 0.7500 Pd
0.2500 0.2500 0.2500 Pt
```

=====

DFT (PBE) results for an optimized crystal structure of KPaBO6.

N(E_F) = 2.92 states/eV/f.u.
total DFT energy (no corrections) = -6.78 eV/atom
formation energy without anion corrections = -150 kJ/mol of atoms

```
KPaBO6
1.0
5.4740 0.0000 0.0000
-2.7370 4.7406 0.0000
0.0000 0.0000 4.4706
K Pa B O
1 1 1 6
Direct
0.0000 0.0000 0.0000 K
0.3333 0.6667 0.5000 Pa
0.6667 0.3333 0.0000 B
0.4854 0.0433 0.7778 O
0.4854 0.4421 0.2222 O
0.5579 0.0433 0.2222 O
0.5579 0.5146 0.7778 O
0.9567 0.4421 0.7778 O
0.9567 0.5146 0.2222 O
```

=====

DFT (PBE) results for an optimized crystal structure of DyIn3Pt2.

N(E_F) = 2.82 states/eV/f.u.
total DFT energy (no corrections) = -4.75 eV/atom
calculated formation energy = -601 meV/atom

```
DyIn3Pt2
1.0
9.3463 -2.0453 0.0000
9.3463 2.0453 0.0000
-3.9456 0.0000 10.6506
Dy In Pt
3 9 6
Direct
0.0000 0.0000 0.0000 Dy
0.1643 0.1643 0.6901 Dy
0.8357 0.8357 0.3099 Dy
0.0290 0.0290 0.3283 In
0.2120 0.2120 0.3981 In
0.3217 0.3217 0.0336 In
0.3730 0.3730 0.8012 In
0.5000 0.5000 0.5000 In
0.6270 0.6270 0.1988 In
0.6783 0.6783 0.9664 In
0.7880 0.7880 0.6019 In
0.9710 0.9710 0.6717 In
0.2210 0.2210 0.1603 Pt
0.3647 0.3647 0.5261 Pt
0.4725 0.4725 0.1614 Pt
0.5275 0.5275 0.8386 Pt
0.6353 0.6353 0.4739 Pt
0.7790 0.7790 0.8397 Pt
```

=====

DFT (PBE) results for an optimized crystal structure of AcEr5Tl6.

N(E_F) = 9.95 states/eV/f.u.
total DFT energy (no corrections) = -3.72 eV/atom
calculated formation energy = -295 meV/atom

```
AcEr5Tl6
1.0
-2.7299 3.7827 8.1915
2.7299 -3.7827 8.1915
2.7299 3.7827 -8.1915
Ac Er Tl
1 5 6
Direct
0.0000 0.0000 0.0000 Ac
0.1620 0.6620 0.5000 Er
0.3319 0.3319 0.0000 Er
0.5000 0.0000 0.5000 Er
0.6681 0.6681 0.0000 Er
0.8380 0.3380 0.5000 Er
0.0870 0.8268 0.2602 Tl
0.2713 0.5000 0.7713 Tl
0.4334 0.1732 0.2602 Tl
0.5666 0.8268 0.7398 Tl
0.7287 0.5000 0.2287 Tl
0.9130 0.1732 0.7398 Tl
```

=====

DFT (PBE) results for an optimized crystal structure of K3SnSe4.

N(E_F) = 11.51 states/eV/f.u.
total DFT energy (no corrections) = -3.48 eV/atom
formation energy without anion corrections = -80 kJ/mol of atoms

```
K3SnSe4
1.0
-4.0355 4.0355 4.0355
4.0355 -4.0355 4.0355
4.0355 4.0355 -4.0355
K Sn Se
3 1 4
Direct
0.0000 0.5000 0.5000 K
0.5000 0.0000 0.5000 K
0.5000 0.5000 0.0000 K
0.0000 0.0000 0.0000 Sn
0.0000 0.0000 0.6309 Se
0.0000 0.6309 0.0000 Se
0.3691 0.3691 0.3691 Se
0.6309 0.0000 0.0000 Se
```

=====

DFT (PBE) results for an optimized crystal structure of Mn2TcAu.

N(E_F) = 3.95 states/eV/f.u.
total DFT energy (no corrections) = -7.82 eV/atom
calculated formation energy = 173 meV/atom

```
Mn2TcAu
1.0
2.7453 0.0000 0.0000
0.0000 3.7860 0.0000
0.0000 0.0000 5.5789
Mn Tc Au
2 1 1
Direct
0.0000 0.0000 0.0000 Mn
0.5000 0.5000 0.2402 Mn
0.0000 0.0000 0.4478 Tc
0.5000 0.5000 0.7406 Au
```

=====

DFT (PBE) results for an optimized crystal structure of In4Br3Cl.

total DFT energy (no corrections) = -2.91 eV/atom
distance to the lowest polymorph of the same formula = 2 kJ/mol of formula units
formation energy without anion corrections = -66 kJ/mol of atoms

```
In4Br3Cl
1.0
6.6255 -4.6932 0.0000
6.6255 4.6932 0.0000
-0.0205 0.0000 4.6743
In Br Cl
4 3 1
Direct
0.2427 0.7573 0.0000 In
0.2457 0.2457 0.5005 In
0.7543 0.7543 0.4995 In
0.7573 0.2427 0.0000 In
0.0000 0.5000 0.0000 Br
0.5000 0.0000 0.0000 Br
0.5000 0.5000 0.5000 Br
0.0000 0.0000 0.5000 Cl
```